Density functional theory data (PBE) for a relaxed structure of Tb3NdSm6Y2.

a = 6.2524 Å, b = 10.8243 Å, c = 11.9446 Å
α = 90.00°, β = 100.02°, γ = 90.00°
Space group C2/m (No. 12)
Asymmetric unit:
Tb (0.0000, 0.0000, 0.0000) [2 per cell]
Tb (0.0000, 0.3330, 0.0000) [4 per cell]
Nd (0.0000, 0.5000, 0.5000) [2 per cell]
Sm (0.2492, 0.1667, 0.2484) [8 per cell]
Sm (0.2493, 0.5000, 0.2486) [4 per cell]
Y (0.0000, 0.1666, 0.5000) [4 per cell]

## Properties
ΔE_f = 13 meV per atom
Volume = 33.2 Å³ per atom
Density = 7.10 Mg/m³

=====

Density functional theory data (PBE) for a relaxed structure of TbNdSmY.

a = 5.1156 Å, b = 5.1156 Å, c = 10.1849 Å
α = 90.00°, β = 90.00°, γ = 90.00°
Space group I-4m2 (No. 119)
Asymmetric unit:
Tb (0.0000, 0.0000, 0.0000) [2 per cell]
Nd (0.0000, 0.5000, 0.7500) [2 per cell]
Sm (0.0000, 0.0000, 0.5000) [2 per cell]
Y (0.0000, 0.5000, 0.2500) [2 per cell]

## Properties
Relative energy among the computed polymorphs = 0.00 kJ per mole of atoms
ΔE_f = 16 meV per atom
Volume = 33.3 Å³ per atom
Density = 6.76 Mg/m³

=====

Density functional theory data (PBE) for a relaxed structure of Tb6Nd3Sm2Y.

a = 6.2490 Å, b = 10.8195 Å, c = 11.9229 Å
α = 90.00°, β = 100.03°, γ = 90.00°
Space group C2/m (No. 12)
Asymmetric unit:
Tb (0.2495, 0.0000, 0.2485) [4 per cell]
Tb (0.2503, 0.1668, 0.7518) [8 per cell]
Nd (0.0000, 0.0000, 0.5000) [2 per cell]
Nd (0.0000, 0.3333, 0.5000) [4 per cell]
Sm (0.0000, 0.1665, 0.0000) [4 per cell]
Y (0.0000, 0.5000, 0.0000) [2 per cell]

## Properties
ΔE_f = 14 meV per atom
Volume = 33.1 Å³ per atom
Density = 7.43 Mg/m³